A relaxed RbTc3As crystal. Source: the Alexandria database, functional PBE-GGA.

a b c (Å): 4.7290 4.7290 4.7290
angles (deg): 90.00 90.00 90.00
Last column: nearest neighbours and their distance in Å.
Fractional coordinates of all 5 atoms:
Rb  0.0000  0.0000  0.0000  6 Tc 2.36
Tc  0.0000  0.0000  0.5000  2 Rb 2.36
Tc  0.0000  0.5000  0.0000  2 Rb 2.36
Tc  0.5000  0.0000  0.0000  2 Rb 2.36
As  0.5000  0.5000  0.5000  12 Tc 3.34

Properties
DOS(E_F)	7.69	states/eV/f.u.
energy above the lowest structure with this stoichiometry	1888	meV per atom
space group	Pm-3m
formation energy from the elements	3.283	eV/atom


A relaxed CaBi3Pd12 crystal. Source: the Alexandria database, functional PBE-GGA.

a b c (Å): 4.1313 4.1313 16.5303
angles (deg): 90.00 90.00 90.00
Last column: nearest neighbours and their distance in Å.
Fractional coordinates of all 16 atoms:
Ca  0.0000  0.0000  0.0000  12 Pd 2.92-2.94
Bi  0.0000  0.0000  0.2445  12 Pd 2.84-2.99
Bi  0.0000  0.0000  0.5000  12 Pd 2.92
Bi  0.0000  0.0000  0.7555  12 Pd 2.84-2.99
Pd  0.0000  0.5000  0.1269  2 Bi 2.84, 8 Pd 2.92-2.96, 2 Ca 2.94
Pd  0.0000  0.5000  0.3752  8 Pd 2.87-2.92, 4 Bi 2.92-2.99
Pd  0.0000  0.5000  0.6248  8 Pd 2.87-2.92, 4 Bi 2.92-2.99
Pd  0.0000  0.5000  0.8731  2 Bi 2.84, 8 Pd 2.92-2.96, 2 Ca 2.94
Pd  0.5000  0.0000  0.1269  2 Bi 2.84, 8 Pd 2.92-2.96, 2 Ca 2.94
Pd  0.5000  0.0000  0.3752  8 Pd 2.87-2.92, 4 Bi 2.92-2.99
Pd  0.5000  0.0000  0.6248  8 Pd 2.87-2.92, 4 Bi 2.92-2.99
Pd  0.5000  0.0000  0.8731  2 Bi 2.84, 8 Pd 2.92-2.96, 2 Ca 2.94
Pd  0.5000  0.5000  0.0000  4 Ca 2.92, 8 Pd 2.94
Pd  0.5000  0.5000  0.2548  8 Pd 2.87-2.96, 4 Bi 2.93
Pd  0.5000  0.5000  0.5000  8 Pd 2.92, 4 Bi 2.92
Pd  0.5000  0.5000  0.7452  8 Pd 2.87-2.96, 4 Bi 2.93

Properties
DOS(E_F)	6.15	states/eV/f.u.
space group	P4/mmm
formation energy from the elements	-0.322	eV/atom


A relaxed Er2HRu crystal. Source: the Alexandria database, functional PBE-GGA.

a b c (Å): 3.4963 6.8186 7.0995
angles (deg): 111.21 104.21 90.08
Last column: nearest neighbours and their distance in Å.
Fractional coordinates of all 8 atoms:
Er  0.0177  0.2545  0.0346  2 H 2.19-2.27
Er  0.2878  0.2464  0.5770  2 H 2.27
Er  0.7122  0.7536  0.4230  2 H 2.27
Er  0.9823  0.7455  0.9654  2 H 2.19-2.27
H  0.1059  0.5968  0.2110  4 Er 2.19-2.27
H  0.8941  0.4032  0.7890  4 Er 2.19-2.27
Ru  0.3824  0.9407  0.7631  7 Er 2.82-2.86, 1 Ru 3.05
Ru  0.6176  0.0593  0.2369  7 Er 2.82-2.86, 1 Ru 3.05

Properties
DOS(E_F)	2.16	states/eV/f.u.
energy above the lowest structure with this stoichiometry	0	meV per atom
space group	P-1


A relaxed ThMg2SiNi2 crystal. Source: the Alexandria database, functional PBE-GGA.

a b c (Å): 4.8106 4.8106 10.0675
angles (deg): 90.00 90.00 90.00
Last column: nearest neighbours and their distance in Å.
Fractional coordinates of all 12 atoms:
Th  0.0000  0.0000  0.0000  2 Ni 2.85
Th  0.5000  0.5000  0.5000  2 Ni 2.85
Mg  0.0000  0.5000  0.2500  4 Ni 2.43
Mg  0.0000  0.5000  0.7500  4 Ni 2.43
Mg  0.5000  0.0000  0.2500  4 Ni 2.43
Mg  0.5000  0.0000  0.7500  4 Ni 2.43
Si  0.0000  0.0000  0.5000  2 Ni 2.18
Si  0.5000  0.5000  0.0000  2 Ni 2.18
Ni  0.0000  0.0000  0.2835  1 Si 2.18, 4 Mg 2.43
Ni  0.0000  0.0000  0.7165  1 Si 2.18, 4 Mg 2.43
Ni  0.5000  0.5000  0.2165  1 Si 2.18, 4 Mg 2.43
Ni  0.5000  0.5000  0.7835  1 Si 2.18, 4 Mg 2.43

Properties
DOS(E_F)	2.81	states/eV/f.u.
space group	I4/mmm
raw formation energy	-0.112	eV per atom


> DOS(E_F) of number 1 (RbTc3As)?

7.69 states/eV/f.u.


> Among the records above, which one has the lowest DOS(E_F)?

Er2HRu


> Among the records above, which one has the highest DOS(E_F)?

RbTc3As